--- A ---
Entry from Alexandria via LeMat-Bulk: AgHgSN2 after structural relaxation (GGA-PBE).

Cell and atoms, written as CIF:
```
data_AgHgSN2
_chemical_formula_sum 'Ag1 Hg1 S1 N2'
_symmetry_space_group_name_H-M 'P 4/m m m'
_symmetry_Int_Tables_number 123
_symmetry_space_group_name_Hall '-P 4 2'
_cell_length_a 4.071
_cell_length_b 4.071
_cell_length_c 5.884
_cell_angle_alpha 90.00
_cell_angle_beta 90.00
_cell_angle_gamma 90.00
loop_
_atom_site_label
_atom_site_fract_x
_atom_site_fract_y
_atom_site_fract_z
_atom_site_occupancy
Ag1 0.000 0.000 0.000 1
Hg1 0.500 0.500 0.500 1
S1 0.000 0.000 0.500 1
N1 0.000 0.500 0.000 1
```

## Properties
**Calculated volume**: 19.50 Å³/atom

---

--- B ---
Entry from Alexandria via LeMat-Bulk: AgHgSN2 after structural relaxation (GGA-PBE).

Cell and atoms, written as CIF:
```
data_AgHgSN2
_chemical_formula_sum 'Ag1 Hg1 S1 N2'
_symmetry_space_group_name_H-M 'P 4/m m m'
_symmetry_Int_Tables_number 123
_symmetry_space_group_name_Hall '-P 4 2'
_cell_length_a 4.245
_cell_length_b 4.245
_cell_length_c 5.481
_cell_angle_alpha 90.00
_cell_angle_beta 90.00
_cell_angle_gamma 90.00
loop_
_atom_site_label
_atom_site_fract_x
_atom_site_fract_y
_atom_site_fract_z
_atom_site_occupancy
Ag1 0.000 0.000 0.000 1
Hg1 0.500 0.500 0.500 1
S1 0.500 0.500 0.000 1
N1 0.000 0.500 0.500 1
```

## Properties
**Calculated volume**: 19.75 Å³/atom

---

Most stable to least stable, the ends of the list are A and B.

---

--- A ---
Entry from Alexandria via LeMat-Bulk: AgHgSeN2 after structural relaxation (GGA-PBE).

Cell and atoms, written as CIF:
```
data_AgHgSeN2
_chemical_formula_sum 'Ag1 Hg1 Se1 N2'
_symmetry_space_group_name_H-M 'P 4/m m m'
_symmetry_Int_Tables_number 123
_symmetry_space_group_name_Hall '-P 4 2'
_cell_length_a 4.239
_cell_length_b 4.239
_cell_length_c 5.915
_cell_angle_alpha 90.00
_cell_angle_beta 90.00
_cell_angle_gamma 90.00
loop_
_atom_site_label
_atom_site_fract_x
_atom_site_fract_y
_atom_site_fract_z
_atom_site_occupancy
Ag1 0.000 0.000 0.000 1
Hg1 0.500 0.500 0.500 1
Se1 0.500 0.500 0.000 1
N1 0.000 0.500 0.500 1
```

## Properties
**Calculated volume**: 21.25 Å³/atom

---

--- B ---
Entry from Alexandria via LeMat-Bulk: AgHgSeN2 after structural relaxation (GGA-PBE).

Cell and atoms, written as CIF:
```
data_AgHgSeN2
_chemical_formula_sum 'Ag1 Hg1 Se1 N2'
_symmetry_space_group_name_H-M 'P 4/m m m'
_symmetry_Int_Tables_number 123
_symmetry_space_group_name_Hall '-P 4 2'
_cell_length_a 4.136
_cell_length_b 4.136
_cell_length_c 5.865
_cell_angle_alpha 90.00
_cell_angle_beta 90.00
_cell_angle_gamma 90.00
loop_
_atom_site_label
_atom_site_fract_x
_atom_site_fract_y
_atom_site_fract_z
_atom_site_occupancy
Ag1 0.000 0.000 0.000 1
Hg1 0.500 0.500 0.500 1
Se1 0.000 0.000 0.500 1
N1 0.000 0.500 0.000 1
```

## Properties
**Calculated volume**: 20.07 Å³/atom

---

Most stable to least stable, the ends of the list are B and A.

---

--- A ---
Entry from Alexandria via LeMat-Bulk: AgHgTeN2 after structural relaxation (GGA-PBE).

Cell and atoms, written as CIF:
```
data_AgHgTeN2
_chemical_formula_sum 'Ag1 Hg1 Te1 N2'
_symmetry_space_group_name_H-M 'P 4/m m m'
_symmetry_Int_Tables_number 123
_symmetry_space_group_name_Hall '-P 4 2'
_cell_length_a 4.219
_cell_length_b 4.219
_cell_length_c 6.301
_cell_angle_alpha 90.00
_cell_angle_beta 90.00
_cell_angle_gamma 90.00
loop_
_atom_site_label
_atom_site_fract_x
_atom_site_fract_y
_atom_site_fract_z
_atom_site_occupancy
Ag1 0.000 0.000 0.000 1
Hg1 0.500 0.500 0.500 1
Te1 0.000 0.000 0.500 1
N1 0.000 0.500 0.000 1
```

## Properties
**Calculated volume**: 22.43 Å³/atom

---

--- B ---
Entry from Alexandria via LeMat-Bulk: AgHgTeN2 after structural relaxation (GGA-PBE).

Cell and atoms, written as CIF:
```
data_AgHgTeN2
_chemical_formula_sum 'Ag1 Hg1 Te1 N2'
_symmetry_space_group_name_H-M 'P 4/m m m'
_symmetry_Int_Tables_number 123
_symmetry_space_group_name_Hall '-P 4 2'
_cell_length_a 4.268
_cell_length_b 4.268
_cell_length_c 6.458
_cell_angle_alpha 90.00
_cell_angle_beta 90.00
_cell_angle_gamma 90.00
loop_
_atom_site_label
_atom_site_fract_x
_atom_site_fract_y
_atom_site_fract_z
_atom_site_occupancy
Ag1 0.000 0.000 0.000 1
Hg1 0.500 0.500 0.500 1
Te1 0.500 0.500 0.000 1
N1 0.000 0.500 0.500 1
```

## Properties
**Calculated volume**: 23.52 Å³/atom

---

Most stable to least stable, the ends of the list are A and B.

---

--- A ---
Entry from Alexandria via LeMat-Bulk: Na2AgHg4 after structural relaxation (GGA-PBE).

Cell and atoms, written as CIF:
```
data_Na2AgHg4
_chemical_formula_sum 'Na4 Ag2 Hg8'
_symmetry_space_group_name_H-M 'C m m m'
_symmetry_Int_Tables_number 65
_symmetry_space_group_name_Hall '-C 2 2'
_cell_length_a 4.365
_cell_length_b 23.201
_cell_length_c 3.479
_cell_angle_alpha 90.00
_cell_angle_beta 90.00
_cell_angle_gamma 90.00
loop_
_atom_site_label
_atom_site_fract_x
_atom_site_fract_y
_atom_site_fract_z
_atom_site_occupancy
Na1 0.000 0.068 0.000 1
Ag1 0.000 0.500 0.500 1
Hg1 0.000 0.205 0.000 1
Hg2 0.000 0.366 0.500 1
```

## Properties
**Calculated volume**: 25.17 Å³/atom

---

--- B ---
Entry from Alexandria via LeMat-Bulk: Na2AgHg4 after structural relaxation (GGA-PBE).

Cell and atoms, written as CIF:
```
data_Na2AgHg4
_chemical_formula_sum 'Na4 Ag2 Hg8'
_symmetry_space_group_name_H-M 'I 4/m m m'
_symmetry_Int_Tables_number 139
_symmetry_space_group_name_Hall '-I 4 2'
_cell_length_a 5.113
_cell_length_b 5.113
_cell_length_c 13.916
_cell_angle_alpha 90.00
_cell_angle_beta 90.00
_cell_angle_gamma 90.00
loop_
_atom_site_label
_atom_site_fract_x
_atom_site_fract_y
_atom_site_fract_z
_atom_site_occupancy
Na1 0.000 0.000 0.247 1
Ag1 0.000 0.000 0.000 1
Hg1 0.000 0.500 0.111 1
```

## Properties
**Calculated volume**: 25.99 Å³/atom

---

Most stable to least stable, the ends of the list are B and A.

---

--- A ---
Entry from Alexandria via LeMat-Bulk: Na6Ag2Hg after structural relaxation (GGA-PBE).

Cell and atoms, written as CIF:
```
data_Na6Ag2Hg
_chemical_formula_sum 'Na12 Ag4 Hg2'
_symmetry_space_group_name_H-M 'C 1 2/m 1'
_symmetry_Int_Tables_number 12
_cell_length_a 16.148
_cell_length_b 7.299
_cell_length_c 5.070
_cell_angle_alpha 90.00
_cell_angle_beta 108.17
_cell_angle_gamma 90.00
loop_
_symmetry_equiv_pos_as_xyz
'x,y,z'
'-x,-y,-z'
'-x,y,-z'
'x,-y,z'
'x+1/2,y+1/2,z'
'-x+1/2,-y+1/2,-z'
'-x+1/2,y+1/2,-z'
'x+1/2,-y+1/2,z'
loop_
_atom_site_label
_atom_site_fract_x
_atom_site_fract_y
_atom_site_fract_z
_atom_site_occupancy
Na1 0.000 0.239 0.000 1
Na2 0.169 0.247 0.670 1
Ag1 0.167 0.000 0.168 1
Hg1 0.000 0.500 0.500 1
```

## Properties
**Calculated volume**: 31.54 Å³/atom

---

--- B ---
Entry from Alexandria via LeMat-Bulk: Na6Ag2Hg after structural relaxation (GGA-PBE).

Cell and atoms, written as CIF:
```
data_Na6Ag2Hg
_chemical_formula_sum 'Na24 Ag8 Hg4'
_symmetry_space_group_name_H-M 'I m m m'
_symmetry_Int_Tables_number 71
_symmetry_space_group_name_Hall '-I 2 2'
_cell_length_a 9.444
_cell_length_b 9.799
_cell_length_c 10.982
_cell_angle_alpha 90.00
_cell_angle_beta 90.00
_cell_angle_gamma 90.00
loop_
_atom_site_label
_atom_site_fract_x
_atom_site_fract_y
_atom_site_fract_z
_atom_site_occupancy
Na1 0.000 0.207 0.169 1
Na2 0.188 0.216 0.500 1
Na3 0.195 0.500 0.252 1
Ag1 0.000 0.000 0.373 1
Ag2 0.156 0.000 0.000 1
Hg1 0.000 0.500 0.000 1
Hg2 0.000 0.500 0.500 1
```

## Properties
**Calculated volume**: 28.23 Å³/atom

---

Most stable to least stable, the ends of the list are B and A.

---

--- A ---
Entry from Alexandria via LeMat-Bulk: NaAg2Hg2 after structural relaxation (GGA-PBE).

Cell and atoms, written as CIF:
```
data_NaAg2Hg2
_chemical_formula_sum 'Na2 Ag4 Hg4'
_symmetry_space_group_name_H-M 'P 4/m b m'
_symmetry_Int_Tables_number 127
_symmetry_space_group_name_Hall '-P 4 2ab'
_cell_length_a 8.419
_cell_length_b 8.419
_cell_length_c 3.152
_cell_angle_alpha 90.00
_cell_angle_beta 90.00
_cell_angle_gamma 90.00
loop_
_atom_site_label
_atom_site_fract_x
_atom_site_fract_y
_atom_site_fract_z
_atom_site_occupancy
Na1 0.000 0.000 0.000 1
Ag1 0.166 0.334 0.500 1
Hg1 0.133 0.633 0.000 1
```

## Properties
**Calculated volume**: 22.34 Å³/atom

---

--- B ---
Entry from Alexandria via LeMat-Bulk: NaAg2Hg2 after structural relaxation (GGA-PBE).

Cell and atoms, written as CIF:
```
data_NaAg2Hg2
_chemical_formula_sum 'Na2 Ag4 Hg4'
_symmetry_space_group_name_H-M 'P 4/m b m'
_symmetry_Int_Tables_number 127
_symmetry_space_group_name_Hall '-P 4 2ab'
_cell_length_a 8.371
_cell_length_b 8.371
_cell_length_c 3.166
_cell_angle_alpha 90.00
_cell_angle_beta 90.00
_cell_angle_gamma 90.00
loop_
_atom_site_label
_atom_site_fract_x
_atom_site_fract_y
_atom_site_fract_z
_atom_site_occupancy
Na1 0.000 0.000 0.000 1
Ag1 0.124 0.376 0.000 1
Hg1 0.174 0.674 0.500 1
```

## Properties
**Calculated volume**: 22.18 Å³/atom

---

--- C ---
Entry from Alexandria via LeMat-Bulk: NaAg2Hg2 after structural relaxation (GGA-PBE).

Cell and atoms, written as CIF:
```
data_NaAg2Hg2
_chemical_formula_sum 'Na2 Ag4 Hg4'
_symmetry_space_group_name_H-M 'P -1'
_symmetry_Int_Tables_number 2
_cell_length_a 5.505
_cell_length_b 5.599
_cell_length_c 8.210
_cell_angle_alpha 79.31
_cell_angle_beta 80.10
_cell_angle_gamma 64.35
loop_
_symmetry_equiv_pos_as_xyz
'x,y,z'
'-x,-y,-z'
loop_
_atom_site_label
_atom_site_fract_x
_atom_site_fract_y
_atom_site_fract_z
_atom_site_occupancy
Na1 0.207 0.367 0.309 1
Ag1 0.247 0.983 0.048 1
Ag2 0.464 0.738 0.383 1
Hg1 0.144 0.021 0.660 1
Hg2 0.262 0.514 0.911 1
```

## Properties
**Calculated volume**: 22.30 Å³/atom

---

Most stable to least stable, the ends of the list are C and A.

---

--- A ---
Entry from Alexandria via LeMat-Bulk: NaAgHgPd after structural relaxation (GGA-PBE).

Cell and atoms, written as CIF:
```
data_NaAgHgPd
_chemical_formula_sum 'Na2 Ag2 Hg2 Pd2'
_symmetry_space_group_name_H-M 'C 1 m 1'
_symmetry_Int_Tables_number 8
_cell_length_a 8.486
_cell_length_b 4.764
_cell_length_c 5.350
_cell_angle_alpha 90.00
_cell_angle_beta 90.28
_cell_angle_gamma 90.00
loop_
_symmetry_equiv_pos_as_xyz
'x,y,z'
'x,-y,z'
'x+1/2,y+1/2,z'
'x+1/2,-y+1/2,z'
loop_
_atom_site_label
_atom_site_fract_x
_atom_site_fract_y
_atom_site_fract_z
_atom_site_occupancy
Na1 0.000 0.000 0.000 1
Ag1 0.355 0.500 0.499 1
Hg1 0.193 0.000 0.500 1
Pd1 0.023 0.500 0.500 1
```

## Properties
**Calculated volume**: 27.04 Å³/atom

---

--- B ---
Entry from Alexandria via LeMat-Bulk: NaAgHgPd after structural relaxation (GGA-PBE).

Cell and atoms, written as CIF:
```
data_NaAgHgPd
_chemical_formula_sum 'Na4 Ag4 Hg4 Pd4'
_symmetry_space_group_name_H-M 'F -4 3 m'
_symmetry_Int_Tables_number 216
_symmetry_space_group_name_Hall 'F -4 2 3'
_cell_length_a 6.742
_cell_length_b 6.742
_cell_length_c 6.742
_cell_angle_alpha 90.00
_cell_angle_beta 90.00
_cell_angle_gamma 90.00
loop_
_atom_site_label
_atom_site_fract_x
_atom_site_fract_y
_atom_site_fract_z
_atom_site_occupancy
Na1 0.000 0.000 0.000 1
Ag1 0.250 0.250 0.750 1
Hg1 0.250 0.250 0.250 1
Pd1 0.000 0.000 0.500 1
```

## Properties
**Calculated volume**: 19.16 Å³/atom

---

Most stable to least stable, the ends of the list are B and A.

---

--- A ---
Entry from Alexandria via LeMat-Bulk: Rb2NaAgHg after structural relaxation (GGA-PBE).

Cell and atoms, written as CIF:
```
data_Rb2NaAgHg
_chemical_formula_sum 'Rb2 Na1 Ag1 Hg1'
_symmetry_space_group_name_H-M 'P 4/m m m'
_symmetry_Int_Tables_number 123
_symmetry_space_group_name_Hall '-P 4 2'
_cell_length_a 6.775
_cell_length_b 6.775
_cell_length_c 5.746
_cell_angle_alpha 90.00
_cell_angle_beta 90.00
_cell_angle_gamma 90.00
loop_
_atom_site_label
_atom_site_fract_x
_atom_site_fract_y
_atom_site_fract_z
_atom_site_occupancy
Rb1 0.000 0.500 0.000 1
Na1 0.000 0.000 0.500 1
Ag1 0.000 0.000 0.000 1
Hg1 0.500 0.500 0.500 1
```

## Properties
**Calculated volume**: 52.74 Å³/atom

---

--- B ---
Entry from Alexandria via LeMat-Bulk: Rb2NaAgHg after structural relaxation (GGA-PBE).

Cell and atoms, written as CIF:
```
data_Rb2NaAgHg
_chemical_formula_sum 'Rb2 Na1 Ag1 Hg1'
_symmetry_space_group_name_H-M 'P 4/m m m'
_symmetry_Int_Tables_number 123
_symmetry_space_group_name_Hall '-P 4 2'
_cell_length_a 6.854
_cell_length_b 6.854
_cell_length_c 5.464
_cell_angle_alpha 90.00
_cell_angle_beta 90.00
_cell_angle_gamma 90.00
loop_
_atom_site_label
_atom_site_fract_x
_atom_site_fract_y
_atom_site_fract_z
_atom_site_occupancy
Rb1 0.000 0.500 0.000 1
Na1 0.000 0.000 0.500 1
Ag1 0.500 0.500 0.500 1
Hg1 0.500 0.500 0.000 1
```

## Properties
**Calculated volume**: 51.34 Å³/atom

---

Most stable to least stable, the ends of the list are A and B.